Here is a relaxed DyYMg2Au4 crystal from OQMD via LeMat-Bulk. Energies are from PBE-GGA.

Calculated values
**V**: 165.9 Å³/cell
**Crystal system**: tetragonal
**Final energy**: -4.188 eV/atom

Cell lengths 4.8955, 4.8955, 6.9228 Å; angles 90.00, 90.00, 90.00 degrees
Fractional coordinates of all 8 atoms:
Au  0.5000  0.0000  0.7503
Dy  0.0000  0.0000  0.0000
Au  0.0000  0.5000  0.2497
Mg  0.0000  0.0000  0.5000
Y  0.5000  0.5000  0.5000
Au  0.0000  0.5000  0.7503
Au  0.5000  0.0000  0.2497
Mg  0.5000  0.5000  0.0000

---

Here is a relaxed SmGdPd2Pb crystal from OQMD via LeMat-Bulk. Energies are from PBE-GGA.

Calculated values
**V**: 119.0 Å³/cell
**Crystal system**: orthorhombic
**Final energy**: -5.485 eV/atom

Cell lengths 3.6898, 7.8361, 7.8361 Å; angles 31.68, 90.00, 90.00 degrees
Fractional coordinates of all 5 atoms:
Sm  0.0000  0.3663  0.3663
Pd  0.5000  0.8064  0.8064
Pd  0.5000  0.1918  0.1918
Gd  0.0000  0.6348  0.6348
Pb  0.5000  0.0007  0.0007

---

Here is a relaxed CdGeO3 crystal from OQMD via LeMat-Bulk. Energies are from PBE-GGA.

Calculated values
**V**: 209.9 Å³/cell
**Crystal system**: orthorhombic
**Final energy**: -5.407 eV/atom

Cell lengths 5.2587, 5.3203, 7.5013 Å; angles 90.00, 90.00, 90.00 degrees
Fractional coordinates of all 20 atoms:
O  0.4108  0.9715  0.2500
O  0.9108  0.5285  0.7500
O  0.2949  0.7099  0.9529
Cd  0.4919  0.4645  0.7500
Ge  0.0000  0.5000  0.5000
O  0.2051  0.2099  0.9529
Cd  0.5081  0.5355  0.2500
Ge  0.5000  0.0000  0.0000
Ge  0.5000  0.0000  0.5000
O  0.2949  0.7099  0.5471
Ge  0.0000  0.5000  0.0000
O  0.7051  0.2901  0.0471
Cd  0.0081  0.9645  0.7500
O  0.5892  0.0285  0.7500
Cd  0.9919  0.0355  0.2500
O  0.7949  0.7901  0.4529
O  0.0892  0.4715  0.2500
O  0.2051  0.2099  0.5471
O  0.7949  0.7901  0.0471
O  0.7051  0.2901  0.4529

---

Here is a relaxed RbErS2O8 crystal from OQMD via LeMat-Bulk. Energies are from PBE-GGA.

Calculated values
**V**: 169.8 Å³/cell
**Crystal system**: trigonal
**Final energy**: -6.512 eV/atom

Cell lengths 8.7155, 8.7155, 8.7155 Å; angles 32.48, 32.48, 32.48 degrees
Fractional coordinates of all 12 atoms:
Rb  0.0000  0.0000  0.0000
O  0.4912  0.7744  0.0649
O  0.0649  0.4912  0.7744
S  0.7555  0.7555  0.7555
O  0.7744  0.0649  0.4912
O  0.2256  0.5088  0.9351
S  0.2445  0.2445  0.2445
Er  0.5000  0.5000  0.5000
O  0.3032  0.3032  0.3032
O  0.9351  0.2256  0.5088
O  0.5088  0.9351  0.2256
O  0.6968  0.6968  0.6968

---

Here is a relaxed NaCuPdSe3 crystal from OQMD via LeMat-Bulk. Energies are from PBE-GGA.

Calculated values
**V**: 520.6 Å³/cell
**Energy relative to the lowest polymorph listed for this composition**: 23 meV per atom
**Crystal system**: orthorhombic
**Final energy**: -3.842 eV/atom

Cell lengths 12.6407, 3.9618, 10.3943 Å; angles 90.00, 90.00, 90.00 degrees
Fractional coordinates of all 24 atoms:
Cu  0.8061  0.7500  0.7364
Cu  0.6939  0.2500  0.2364
Pd  0.5740  0.2500  0.8101
Se  0.1666  0.7500  0.5976
Se  0.9858  0.7500  0.8000
Pd  0.0740  0.2500  0.6899
Na  0.1261  0.7500  0.0303
Se  0.6666  0.7500  0.9024
Na  0.8739  0.2500  0.9697
Se  0.5142  0.2500  0.3000
Se  0.2553  0.7500  0.3757
Se  0.3334  0.2500  0.0976
Se  0.7447  0.2500  0.6243
Se  0.4858  0.7500  0.7000
Se  0.0142  0.2500  0.2000
Se  0.2447  0.2500  0.8757
Pd  0.4260  0.7500  0.1899
Se  0.8334  0.2500  0.4024
Na  0.6261  0.7500  0.4697
Se  0.7553  0.7500  0.1243
Na  0.3739  0.2500  0.5303
Cu  0.3061  0.7500  0.7636
Pd  0.9260  0.7500  0.3101
Cu  0.1939  0.2500  0.2636

---

Here is a relaxed ZrInCuTc crystal from OQMD via LeMat-Bulk. Energies are from PBE-GGA.

Calculated values
**V**: 69.8 Å³/cell
**Energy relative to the lowest polymorph listed for this composition**: 0 meV per atom
**Crystal system**: cubic
**Final energy**: -6.362 eV/atom

Cell lengths 4.6211, 4.6211, 4.6211 Å; angles 60.00, 60.00, 60.00 degrees
Fractional coordinates of all 4 atoms:
In  0.0000  0.0000  0.0000
Zr  0.5000  0.5000  0.5000
Cu  0.7500  0.7500  0.7500
Tc  0.2500  0.2500  0.2500

---

Here is a relaxed ZrCuGeW crystal from OQMD via LeMat-Bulk. Energies are from PBE-GGA.

Calculated values
**V**: 65.9 Å³/cell
**Energy relative to the lowest polymorph listed for this composition**: 0 meV per atom
**Crystal system**: cubic
**Final energy**: -7.145 eV/atom

Cell lengths 4.5347, 4.5347, 4.5347 Å; angles 60.00, 60.00, 60.00 degrees
Fractional coordinates of all 4 atoms:
Ge  0.0000  0.0000  0.0000
Cu  0.7500  0.7500  0.7500
W  0.2500  0.2500  0.2500
Zr  0.5000  0.5000  0.5000

---

Here is a relaxed ErGeAuSe3 crystal from OQMD via LeMat-Bulk. Energies are from PBE-GGA.

Calculated values
**V**: 292.8 Å³/cell
**Crystal system**: orthorhombic
**Final energy**: -4.554 eV/atom

Cell lengths 3.9404, 7.2312, 10.6793 Å; angles 90.00, 90.00, 74.19 degrees
Fractional coordinates of all 12 atoms:
Er  0.0000  0.0000  0.0000
Ge  0.8125  0.3751  0.7500
Er  0.0000  0.0000  0.5000
Se  0.0911  0.8177  0.7500
Se  0.6469  0.7062  0.0519
Se  0.3531  0.2938  0.5519
Au  0.4650  0.0701  0.7500
Ge  0.1875  0.6249  0.2500
Se  0.6469  0.7062  0.4481
Se  0.9089  0.1823  0.2500
Au  0.5350  0.9299  0.2500
Se  0.3531  0.2938  0.9481